(1)
# Rb4Ce3RhS8

Rb4Ce3RhS8 after structural relaxation (PBE, the Alexandria database).

abc: 8.2859 8.2859 8.9834
angles: 116.84 116.84 58.13
Closest atoms and distances in Å follow each position.
Atoms (fractional coordinates):
Rb1 0.0000 0.0000 0.0000  2 S 3.15
Rb2 0.0000 0.5000 0.0000  6 S 3.26-3.47
Rb3 0.5000 0.0000 0.0000  6 S 3.26-3.47
Rb4 0.5000 0.5000 0.0000  6 S 3.32-3.43
Ce1 0.0000 0.0000 0.5000  6 S 2.82-2.84
Ce2 0.0000 0.5000 0.5000  6 S 2.75-2.86
Ce3 0.5000 0.0000 0.5000  6 S 2.75-2.86
Rh1 0.5000 0.5000 0.5000  4 S 2.51
S1 0.2291 0.2291 0.6984  3 Ce 2.81-2.84
S2 0.2469 0.2469 0.2886  2 Ce 2.75
S3 0.2556 0.7046 0.6745  1 Rh 2.51
S4 0.2954 0.7444 0.3255  1 Rh 2.51
S5 0.7046 0.2556 0.6745  1 Rh 2.51
S6 0.7444 0.2954 0.3255  1 Rh 2.51
S7 0.7531 0.7531 0.7114  2 Ce 2.75
S8 0.7709 0.7709 0.3016  3 Ce 2.81-2.84

- Raw formation energy: -1.4306 eV per atom
- Volume: 28.0 A^3/atom
- Symmetry: No. 12
- Calculated density: 4.2 g cm⁻³
- Density of states at the Fermi level: 0.963 states/eV/atom


(2)
# YOsCl

YOsCl after structural relaxation (PBE, the Alexandria database).

abc: 4.5260 4.5260 4.5260
angles: 60.00 60.00 60.00
Closest atoms and distances in Å follow each position.
Atoms (fractional coordinates):
Y1 0.0000 0.0000 0.0000  4 Cl 2.77
Os1 0.5000 0.5000 0.5000  4 Cl 2.77
Cl1 0.7500 0.7500 0.7500  4 Os 2.77, 4 Y 2.77

- Raw formation energy: 0.5555 eV per atom
- Volume: 21.9 A^3/atom
- Symmetry: No. 216
- ΔE to the lowest computed polymorph: 619 meV per atom
- Calculated density: 8.0 g cm⁻³
- Density of states at the Fermi level: 0.969 states/eV/atom


(3)
# LiNb2Se

LiNb2Se after structural relaxation (PBE, the Alexandria database).

abc: 10.2919 10.2919 10.2919
angles: 158.74 158.74 30.25
Closest atoms and distances in Å follow each position.
Atoms (fractional coordinates):
Li1 0.0000 0.0000 0.0000  4 Se 2.69, 4 Nb 2.83
Li2 0.7500 0.2500 0.5000  4 Se 2.69, 4 Nb 2.83
Nb1 0.1311 0.6250 0.0061  4 Nb 2.65-2.72, 2 Se 2.82, 2 Li 2.83
Nb2 0.3750 0.3811 0.5061  4 Nb 2.65-2.72, 2 Se 2.82, 2 Li 2.83
Nb3 0.6189 0.1250 0.9939  4 Nb 2.65-2.72, 2 Se 2.82, 2 Li 2.83
Nb4 0.8750 0.8689 0.4939  4 Nb 2.65-2.72, 2 Se 2.82, 2 Li 2.83
Se1 0.2500 0.7500 0.5000  4 Li 2.69, 4 Nb 2.82
Se2 0.5000 0.5000 0.0000  4 Li 2.69, 4 Nb 2.82

- Raw formation energy: 0.0756 eV per atom
- Volume: 17.9 A^3/atom
- Symmetry: No. 122
- Calculated density: 6.3 g cm⁻³
- Density of states at the Fermi level: 1.138 states/eV/atom


(4)
# Ac2YLu

Ac2YLu after structural relaxation (PBE, the Alexandria database).

abc: 5.5242 5.5242 4.8782
angles: 90.00 90.00 90.00
Closest atoms and distances in Å follow each position.
Atoms (fractional coordinates):
Ac1 0.0000 0.5000 0.0000  4 Lu 3.68, 4 Y 3.68, 4 Ac 3.91
Ac2 0.5000 0.0000 0.0000  4 Lu 3.68, 4 Y 3.68, 4 Ac 3.91
Y1 0.0000 0.0000 0.5000  8 Ac 3.68, 4 Lu 3.91
Lu1 0.5000 0.5000 0.5000  8 Ac 3.68, 4 Y 3.91

- Volume: 37.2 A^3/atom
- Formation energy from the elements: 0.06 eV per atom
- Symmetry: No. 123
- ΔE to the lowest computed polymorph: 3 meV per atom
- Calculated density: 8.0 g cm⁻³
- Density of states at the Fermi level: 1.265 states/eV/atom


(5)
# Tm5Co2Sb

Tm5Co2Sb after structural relaxation (PBE, the Alexandria database).

abc: 8.4818 8.4818 8.4818
angles: 127.56 127.56 77.33
Closest atoms and distances in Å follow each position.
Atoms (fractional coordinates):
Tm1 0.0000 0.0000 0.0000  4 Co 2.92
Tm2 0.0254 0.5254 0.8157  3 Co 2.81
Tm3 0.2097 0.0254 0.5000  3 Co 2.81
Tm4 0.2903 0.7903 0.8157  3 Co 2.81
Tm5 0.4746 0.2903 0.5000  3 Co 2.81
Tm6 0.5000 0.5000 0.0000  4 Co 2.92
Tm7 0.5254 0.7097 0.5000  3 Co 2.81
Tm8 0.7097 0.2097 0.1843  3 Co 2.81
Tm9 0.7903 0.9746 0.5000  3 Co 2.81
Tm10 0.9746 0.4746 0.1843  3 Co 2.81
Co1 0.1345 0.3655 0.5000  8 Tm 2.81-2.92, 1 Co 2.85
Co2 0.3655 0.8655 0.2309  8 Tm 2.81-2.92, 1 Co 2.85
Co3 0.6345 0.1345 0.7691  8 Tm 2.81-2.92, 1 Co 2.85
Co4 0.8655 0.6345 0.5000  8 Tm 2.81-2.92, 1 Co 2.85
Sb1 0.2500 0.2500 0.0000  10 Tm 3.22-3.31
Sb2 0.7500 0.7500 0.0000  10 Tm 3.22-3.31

- Raw formation energy: -0.4535 eV per atom
- Volume: 23.2 A^3/atom
- Symmetry: No. 140
- Calculated density: 9.7 g cm⁻³
- Density of states at the Fermi level: 0.995 states/eV/atom


(6)
# IrAuSe2

IrAuSe2 after structural relaxation (PBE, the Alexandria database).

abc: 2.9306 2.9306 10.8325
angles: 90.00 90.00 121.54
Closest atoms and distances in Å follow each position.
Atoms (fractional coordinates):
Ir1 0.0000 0.0000 0.0000  4 Se 2.57, 2 Ir 2.86
Au1 0.0000 0.0000 0.5000  6 Au 2.86-2.93
Se1 0.5000 0.5000 0.1973  2 Ir 2.57, 2 Se 2.86
Se2 0.5000 0.5000 0.8027  2 Ir 2.57, 2 Se 2.86

- Raw formation energy: 0.3767 eV per atom
- Volume: 19.8 A^3/atom
- Symmetry: No. 65
- Calculated density: 11.5 g cm⁻³
- Density of states at the Fermi level: 0.667 states/eV/atom


(7)
# Ce2Sc

Ce2Sc after structural relaxation (PBE, the Alexandria database).

abc: 7.4468 7.4468 7.4468
angles: 154.04 154.04 37.04
Closest atoms and distances in Å follow each position.
Atoms (fractional coordinates):
Ce1 0.1691 0.1691 0.0000  8 Ce 3.29-3.35, 4 Sc 3.36
Ce2 0.8309 0.8309 0.0000  8 Ce 3.29-3.35, 4 Sc 3.36
Sc1 0.5000 0.5000 0.0000  4 Sc 3.35, 8 Ce 3.36

- Volume: 26.3 A^3/atom
- Formation energy from the elements: 0.07 eV per atom
- Symmetry: No. 139
- ΔE to the lowest computed polymorph: 0 meV per atom
- Calculated density: 6.8 g cm⁻³
- Density of states at the Fermi level: 2.277 states/eV/atom


(8)
# TaReW2

TaReW2 after structural relaxation (PBE, the Alexandria database).

abc: 2.7745 4.5243 5.2732
angles: 90.00 100.49 90.00
Closest atoms and distances in Å follow each position.
Atoms (fractional coordinates):
Ta1 0.0000 0.0000 0.0000  2 Re 2.75, 2 Ta 2.77, 4 W 2.78
Re1 0.5000 0.0000 0.5000  2 Ta 2.75, 4 W 2.76, 2 Re 2.77
W1 0.2539 0.5000 0.7487  4 W 2.74-2.77, 2 Re 2.76, 2 Ta 2.78
W2 0.7461 0.5000 0.2513  4 W 2.74-2.77, 2 Re 2.76, 2 Ta 2.78

- Volume: 16.3 A^3/atom
- Formation energy from the elements: -0.09 eV per atom
- Symmetry: No. 10
- ΔE to the lowest computed polymorph: 64 meV per atom
- Calculated density: 18.7 g cm⁻³
- Density of states at the Fermi level: 0.589 states/eV/atom


(9)
# NaNdSBr

NaNdSBr after structural relaxation (PBE, the Alexandria database).

abc: 7.9083 7.9083 7.9083
angles: 29.41 29.41 29.41
Closest atoms and distances in Å follow each position.
Atoms (fractional coordinates):
Na1 0.0000 0.0000 0.0000  3 S 2.79
Nd1 0.1931 0.1931 0.1931  3 S 2.84, 3 Br 3.10
S1 0.5984 0.5984 0.5984  3 Na 2.79, 3 Nd 2.84
Br1 0.7690 0.7690 0.7690  3 Nd 3.10, 3 Na 3.28

- Raw formation energy: -1.5258 eV per atom
- Volume: 26.4 A^3/atom
- Symmetry: No. 160
- Calculated density: 4.4 g cm⁻³
- Density of states at the Fermi level: 0.554 states/eV/atom


(10)
# CaZrCd2

CaZrCd2 after structural relaxation (PBE, the Alexandria database).

abc: 5.1684 5.1684 6.5079
angles: 99.10 99.10 38.00
Closest atoms and distances in Å follow each position.
Atoms (fractional coordinates):
Ca1 0.0000 0.0000 0.0000  6 Cd 3.26-3.30, 2 Ca 3.37
Zr1 0.5000 0.5000 0.5000  6 Cd 3.06-3.07, 2 Zr 3.37
Cd1 0.2456 0.2456 0.7164  3 Zr 3.06-3.07, 3 Ca 3.26-3.30, 4 Cd 3.29-3.37
Cd2 0.7544 0.7544 0.2836  3 Zr 3.06-3.07, 3 Ca 3.26-3.30, 4 Cd 3.29-3.37

- Volume: 26.4 A^3/atom
- Formation energy from the elements: 0.04 eV per atom
- Symmetry: No. 12
- Calculated density: 5.6 g cm⁻³
- Density of states at the Fermi level: 0.900 states/eV/atom


(11)
# CdMo3H

CdMo3H after structural relaxation (PBE, the Alexandria database).

abc: 4.9184 4.9184 4.9184
angles: 90.00 90.00 90.00
Closest atoms and distances in Å follow each position.
Atoms (fractional coordinates):
Cd1 0.0000 0.0000 0.0000  6 Mo 2.46
Mo1 0.0000 0.0000 0.5000  2 Cd 2.46
Mo2 0.0000 0.5000 0.0000  2 Cd 2.46
Mo3 0.5000 0.0000 0.0000  2 Cd 2.46
H1 0.5000 0.5000 0.5000  12 Mo 3.48

- Volume: 23.8 A^3/atom
- Symmetry: No. 221
- ΔE to the lowest computed polymorph: 2979 meV per atom
- Calculated density: 5.6 g cm⁻³
- Density of states at the Fermi level: 1.647 states/eV/atom


(12)
# La2HgRuI

La2HgRuI after structural relaxation (PBE, the Alexandria database).

abc: 5.4119 5.4119 5.3814
angles: 90.00 90.00 90.00
Closest atoms and distances in Å follow each position.
Atoms (fractional coordinates):
La1 0.0000 0.5000 0.0000  2 Ru 2.71
La2 0.5000 0.0000 0.0000  2 Ru 2.71
Hg1 0.0000 0.0000 0.5000  2 Ru 2.69
Ru1 0.0000 0.0000 0.0000  2 Hg 2.69, 4 La 2.71
I1 0.5000 0.5000 0.5000  8 La 3.82, 4 Hg 3.83

- Raw formation energy: -0.5362 eV per atom
- Volume: 31.5 A^3/atom
- Symmetry: No. 123
- Calculated density: 7.4 g cm⁻³
- Density of states at the Fermi level: 0.600 states/eV/atom